(1)
## PdRuW (PBE)

Data for crystalline PdRuW at its relaxed geometry.

- space-group type = C2/m (12)
- energy relative to the lowest polymorph listed for this composition (meV per atom) = 137
- DOS(E_F) (states/eV/cell) = 4.738
- spin magnetization (μB per cell) = 0.0
- E_form (meV/atom) = 111
- crystal system = monoclinic

Cell: 2.810 4.729 7.449 Å, 96.28 90.00 107.29°
Fractional coordinates of all 6 atoms:
W 0.121 0.242 0.906
W 0.879 0.758 0.094
Pd 0.357 0.714 0.408
Pd 0.643 0.286 0.592
Ru 0.381 0.762 0.783
Ru 0.619 0.238 0.217


(2)
## Bi2Pd2Se3 (PBE)

Data for crystalline Bi2Pd2Se3 at its relaxed geometry.

- space-group type = P2_1/c (14)
- raw formation energy (eV per atom) = -0.255
- DOS(E_F) (states/eV/cell) = 5.231
- spin magnetization (μB per cell) = 0.0
- crystal system = monoclinic

Cell: 7.364 8.438 6.665 Å, 90.00 52.63 90.00°
Fractional coordinates of all 14 atoms:
Bi 0.922 0.711 0.793
Bi 0.422 0.789 0.793
Bi 0.578 0.211 0.207
Bi 0.078 0.289 0.207
Pd 0.623 0.380 0.545
Pd 0.877 0.880 0.455
Pd 0.123 0.120 0.545
Pd 0.377 0.620 0.455
Se 0.500 0.500 0.000
Se 0.000 0.000 0.000
Se 0.643 0.121 0.722
Se 0.857 0.621 0.278
Se 0.143 0.379 0.722
Se 0.357 0.879 0.278


Among the records above, which one has the lowest DOS(E_F)?
PdRuW